Record 1
A geometry-optimized NaBeH structure. Source: the Alexandria database, functional PBE.

Output
- Crystal system: monoclinic
- DOS(E_F): 0.3 states/eV/f.u.
- Energy relative to the lowest polymorph listed for this composition: 0.083 eV/atom

Geometry as CIF:
```
data_NaBeH
_chemical_formula_sum 'Na4 Be4 H4'
_space_group_name_H-M_alt 'P 1'
_space_group_IT_number 1
_cell_length_a 5.137
_cell_length_b 2.928
_cell_length_c 11.031
_cell_angle_alpha 90.00
_cell_angle_beta 104.29
_cell_angle_gamma 90.00
loop_
_space_group_symop_operation_xyz
'x,y,z'
loop_
_atom_site_label
_atom_site_fract_x
_atom_site_fract_y
_atom_site_fract_z
H1 0.695 0.500 0.074
H2 0.305 0.000 0.426
H3 0.305 0.500 0.926
H4 0.695 0.000 0.574
Be1 0.893 0.500 0.188
Be2 0.107 0.500 0.812
Be3 0.893 0.000 0.688
Be4 0.107 0.000 0.312
Na1 0.660 0.500 0.404
Na2 0.340 0.000 0.096
Na3 0.340 0.500 0.596
Na4 0.660 0.000 0.904
```

Record 2
A geometry-optimized Cs2NaBi2 structure. Source: the Alexandria database, functional PBE.

Output
- Crystal system: orthorhombic
- DFT formation energy: -0.2328 eV/atom
- DOS(E_F): 3.7 states/eV/f.u.
- Energy relative to the lowest polymorph listed for this composition: 0.073 eV/atom

Geometry as CIF:
```
data_Cs2NaBi2
_chemical_formula_sum 'Cs2 Na1 Bi2'
_space_group_name_H-M_alt 'P 1'
_space_group_IT_number 1
_cell_length_a 5.522
_cell_length_b 5.496
_cell_length_c 8.410
_cell_angle_alpha 109.07
_cell_angle_beta 90.00
_cell_angle_gamma 90.00
loop_
_space_group_symop_operation_xyz
'x,y,z'
loop_
_atom_site_label
_atom_site_fract_x
_atom_site_fract_y
_atom_site_fract_z
Bi1 0.500 0.317 0.633
Bi2 0.500 0.504 0.007
Cs1 0.000 0.689 0.379
Cs2 0.000 0.924 0.848
Na1 0.500 0.109 0.217
```

Record 3
A geometry-optimized SbAs2Pt structure. Source: the Alexandria database, functional PBE.

Output
- Crystal system: tetragonal
- DOS(E_F): 2.4 states/eV/f.u.

Geometry as CIF:
```
data_SbAs2Pt
_chemical_formula_sum 'Sb2 As4 Pt2'
_space_group_name_H-M_alt 'P 1'
_space_group_IT_number 1
_cell_length_a 5.988
_cell_length_b 5.988
_cell_length_c 7.296
_cell_angle_alpha 65.77
_cell_angle_beta 65.77
_cell_angle_gamma 90.00
loop_
_space_group_symop_operation_xyz
'x,y,z'
loop_
_atom_site_label
_atom_site_fract_x
_atom_site_fract_y
_atom_site_fract_z
As1 0.672 0.125 0.250
As2 0.375 0.328 0.750
As3 0.875 0.922 0.750
As4 0.078 0.625 0.250
Pt1 0.000 0.000 0.000
Pt2 0.750 0.250 0.500
Sb1 0.500 0.500 0.000
Sb2 0.250 0.750 0.500
```

Record 4
A geometry-optimized K2RePt structure. Source: the Alexandria database, functional PBE.

Output
- Crystal system: orthorhombic
- DFT formation energy: 1.0190 eV/atom
- DOS(E_F): 3.4 states/eV/f.u.
- Energy relative to the lowest polymorph listed for this composition: 0.524 eV/atom

Geometry as CIF:
```
data_K2RePt
_chemical_formula_sum 'K2 Re1 Pt1'
_space_group_name_H-M_alt 'P 1'
_space_group_IT_number 1
_cell_length_a 2.777
_cell_length_b 5.601
_cell_length_c 5.464
_cell_angle_alpha 90.00
_cell_angle_beta 90.00
_cell_angle_gamma 90.00
loop_
_space_group_symop_operation_xyz
'x,y,z'
loop_
_atom_site_label
_atom_site_fract_x
_atom_site_fract_y
_atom_site_fract_z
K1 0.000 0.000 0.498
K2 0.000 0.000 0.002
Re1 0.500 0.500 0.750
Pt1 0.500 0.500 0.250
```

One value per record, in order, for total energy: -2.66 -2.39 -4.92 -4.15 eV per atom.